(1)
A plane-wave DFT calculation with GGA-PBE was carried out for an optimized crystal structure of Ti2BeSnC.

Properties
Energy of formation: -0.3188 eV/atom
Space group: P4/mmm
Size of the total moment: 0.01 Bohr magnetons per cell
Mass density: 5.67 g/cm3

Unit cell a=4.330 b=4.330 c=3.676 alpha=90.00 beta=90.00 gamma=90.00
Atoms (fractional coordinates):
Ti  0.000  0.500  0.000
Ti  0.500  0.000  0.000
Be  0.000  0.000  0.500
Sn  0.500  0.500  0.500
C  0.000  0.000  0.000

(2)
A plane-wave DFT calculation with GGA-PBE was carried out for an optimized crystal structure of ThMg2Tl2.

Properties
E above lowest polymorph: 0.0000 eV per atom
Energy of formation: -0.0741 eV/atom
Space group: C2/m
Size of the total moment: 0.00 Bohr magnetons per cell
Mass density: 8.62 g/cm3

Unit cell a=8.806 b=4.739 c=7.324 alpha=90.00 beta=119.64 gamma=90.00
Atoms (fractional coordinates):
Th  0.000  0.000  0.000
Th  0.500  0.500  0.000
Mg  0.196  0.000  0.610
Mg  0.304  0.500  0.390
Mg  0.696  0.500  0.610
Mg  0.804  0.000  0.390
Tl  0.070  0.500  0.751
Tl  0.430  0.000  0.249
Tl  0.570  0.000  0.751
Tl  0.930  0.500  0.249

Number 1: final energy -6.87 eV/atom. Number 2: final energy -3.14 eV/atom.